(1)
The following is a PBE-GGA calculation of a geometry-optimized BeHg2Rh structure, from Alexandria via LeMat-Bulk.

a b c (Å): 5.4320 5.4320 4.3593
angles (deg): 66.64 66.64 35.19
Atoms (fractional coordinates):
Hg (0.7628, 0.7628, 0.7369)
Hg (0.9730, 0.9730, 0.0271)
Be (0.2109, 0.2109, 0.2891)
Rh (0.5534, 0.5534, 0.4470)

## Properties
calculated formation energy = 0.12 eV/atom
VASP energy = -2.80 eV per atom

(2)
The following is a PBE-GGA calculation of a geometry-optimized BeHg2Rh structure, from Alexandria via LeMat-Bulk.

a b c (Å): 5.0726 5.0726 5.0726
angles (deg): 133.85 133.85 67.33
Atoms (fractional coordinates):
Hg (0.0000, 0.0000, 0.0000)
Hg (0.5000, 0.5000, 0.0000)
Be (0.7500, 0.2500, 0.5000)
Rh (0.2500, 0.7500, 0.5000)

## Properties
calculated formation energy = 0.31 eV/atom
VASP energy = -2.61 eV per atom

(3)
The following is a PBE-GGA calculation of a geometry-optimized BeHgRh structure, from Alexandria via LeMat-Bulk.

a b c (Å): 3.9524 3.9524 3.3341
angles (deg): 90.00 90.00 120.00
Atoms (fractional coordinates):
Be (0.0000, 0.0000, 0.8333)
Hg (0.6667, 0.3333, 0.3333)
Rh (0.3333, 0.6667, 0.8333)

## Properties
calculated formation energy = 0.01 eV/atom
VASP energy = -3.78 eV per atom

(4)
The following is a PBE-GGA calculation of a geometry-optimized BeHgRh structure, from Alexandria via LeMat-Bulk.

a b c (Å): 4.0049 4.0049 4.0049
angles (deg): 60.00 60.00 60.00
Atoms (fractional coordinates):
Rh (0.5000, 0.5000, 0.5000)
Hg (0.0000, 0.0000, 0.0000)
Be (0.7500, 0.7500, 0.7500)

## Properties
calculated formation energy = 0.00 eV/atom
VASP energy = -3.79 eV per atom

(5)
The following is a PBE-GGA calculation of a geometry-optimized BeHg2Rh structure, from Alexandria via LeMat-Bulk.

a b c (Å): 7.1352 7.1352 5.7225
angles (deg): 51.43 51.43 90.00
Atoms (fractional coordinates):
Rh (0.0000, 0.0000, 0.0000)
Rh (0.7500, 0.2500, 0.5000)
Hg (0.3750, 0.4193, 0.7500)
Hg (0.1693, 0.6250, 0.2500)
Hg (0.5807, 0.1250, 0.2500)
Hg (0.8750, 0.8307, 0.7500)
Be (0.2500, 0.7500, 0.5000)
Be (0.5000, 0.5000, 0.0000)

## Properties
calculated formation energy = 0.39 eV/atom
VASP energy = -2.53 eV per atom

(6)
The following is a PBE-GGA calculation of a geometry-optimized BeHg2Rh structure, from Alexandria via LeMat-Bulk.

a b c (Å): 3.0418 3.0418 8.6575
angles (deg): 90.00 90.00 120.68
Atoms (fractional coordinates):
Rh (0.5000, 0.5000, 0.2500)
Be (0.5000, 0.5000, 0.7500)
Hg (0.0000, 0.0000, 0.5190)
Hg (0.0000, 0.0000, 0.9810)

## Properties
calculated formation energy = 0.46 eV/atom
VASP energy = -2.46 eV per atom

(7)
The following is a PBE-GGA calculation of a geometry-optimized BeHg2Rh structure, from Alexandria via LeMat-Bulk.

a b c (Å): 3.0272 3.0272 7.4543
angles (deg): 90.00 90.00 90.00
Atoms (fractional coordinates):
Hg (0.5000, 0.5000, 0.2962)
Hg (0.0000, 0.0000, 0.9561)
Rh (0.0000, 0.0000, 0.5685)
Be (0.5000, 0.5000, 0.6792)

## Properties
calculated formation energy = -0.05 eV/atom
VASP energy = -2.97 eV per atom

(8)
The following is a PBE-GGA calculation of a geometry-optimized BeHg2Rh structure, from Alexandria via LeMat-Bulk.

a b c (Å): 3.8665 4.1335 4.1335
angles (deg): 90.00 90.00 90.00
Atoms (fractional coordinates):
Rh (0.5000, 0.5000, 0.0000)
Be (0.5000, 0.0000, 0.5000)
Hg (0.0000, 0.0000, 0.0000)
Hg (0.0000, 0.5000, 0.5000)

## Properties
calculated formation energy = 0.27 eV/atom
VASP energy = -2.65 eV per atom

(9)
The following is a PBE-GGA calculation of a geometry-optimized BeHgRh3 structure, from Alexandria via LeMat-Bulk.

a b c (Å): 4.2060 4.2060 4.2060
angles (deg): 90.00 90.00 90.00
Atoms (fractional coordinates):
Rh (0.0000, 0.5000, 0.0000)
Rh (0.5000, 0.0000, 0.0000)
Rh (0.0000, 0.0000, 0.5000)
Hg (0.5000, 0.5000, 0.5000)
Be (0.0000, 0.0000, 0.0000)

## Properties
calculated formation energy = 0.17 eV/atom
VASP energy = -5.05 eV per atom

(10)
The following is a PBE-GGA calculation of a geometry-optimized BeHgRhS2 structure, from Alexandria via LeMat-Bulk.

a b c (Å): 4.2208 4.6504 4.2208
angles (deg): 90.00 90.00 90.00
Atoms (fractional coordinates):
S (0.5000, 0.0000, 0.0000)
S (0.0000, 0.0000, 0.5000)
Be (0.0000, 0.0000, 0.0000)
Rh (0.0000, 0.5000, 0.0000)
Hg (0.5000, 0.5000, 0.5000)

## Properties
VASP energy = -3.52 eV per atom
uncorrected formation energy = 195 kJ/mol of formula units

(11)
The following is a PBE-GGA calculation of a geometry-optimized TaBeHg2Rh structure, from Alexandria via LeMat-Bulk.

a b c (Å): 4.5236 4.2106 4.5236
angles (deg): 90.00 90.00 90.00
Atoms (fractional coordinates):
Be (0.0000, 0.0000, 0.0000)
Ta (0.5000, 0.5000, 0.5000)
Hg (0.0000, 0.0000, 0.5000)
Hg (0.5000, 0.0000, 0.0000)
Rh (0.0000, 0.5000, 0.0000)

## Properties
calculated formation energy = 0.65 eV/atom
VASP energy = -4.05 eV per atom

(12)
The following is a PBE-GGA calculation of a geometry-optimized BeVHg2Rh structure, from Alexandria via LeMat-Bulk.

a b c (Å): 5.2309 4.4141 5.2309
angles (deg): 90.00 90.00 90.00
Last column: magnetic moment on the atom in μB.
Atoms (fractional coordinates):
Hg (0.5000, 0.0000, 0.0000)  0.04
Hg (0.0000, 0.0000, 0.5000)  0.05
Rh (0.0000, 0.5000, 0.0000)  -0.10
Be (0.5000, 0.5000, 0.5000)  0.02
V (0.0000, 0.0000, 0.0000)  1.76

## Properties
calculated formation energy = 1.21 eV/atom
VASP energy = -2.95 eV per atom

(13)
The following is a PBE-GGA calculation of a geometry-optimized BeZnHg2Rh structure, from Alexandria via LeMat-Bulk.

a b c (Å): 4.5703 4.2743 4.5703
angles (deg): 90.00 90.00 90.00
Atoms (fractional coordinates):
Be (0.0000, 0.0000, 0.0000)
Hg (0.5000, 0.0000, 0.0000)
Hg (0.0000, 0.0000, 0.5000)
Zn (0.0000, 0.5000, 0.0000)
Rh (0.5000, 0.5000, 0.5000)

## Properties
calculated formation energy = 0.59 eV/atom
VASP energy = -2.00 eV per atom

(14)
The following is a PBE-GGA calculation of a geometry-optimized Zr2BeHgRh structure, from Alexandria via LeMat-Bulk.

a b c (Å): 4.9198 5.1211 4.9198
angles (deg): 90.00 90.00 90.00
Atoms (fractional coordinates):
Zr (0.0000, 0.0000, 0.5000)
Zr (0.5000, 0.0000, 0.0000)
Hg (0.0000, 0.5000, 0.0000)
Rh (0.0000, 0.0000, 0.0000)
Be (0.5000, 0.5000, 0.5000)

## Properties
calculated formation energy = 0.66 eV/atom
VASP energy = -5.04 eV per atom

(15)
The following is a PBE-GGA calculation of a geometry-optimized BeHgRu2 structure, from Alexandria via LeMat-Bulk.

a b c (Å): 3.8195 2.8475 5.6389
angles (deg): 72.63 90.00 90.00
Atoms (fractional coordinates):
Ru (0.0000, 0.4102, 0.4505)
Ru (0.0000, 0.0898, 0.0495)
Hg (0.5000, 0.7500, 0.7500)
Be (0.5000, 0.2500, 0.2500)

## Properties
calculated formation energy = 0.35 eV/atom
VASP energy = -5.29 eV per atom

(16)
The following is a PBE-GGA calculation of a geometry-optimized BeHgRu2 structure, from Alexandria via LeMat-Bulk.

a b c (Å): 3.8972 3.8972 9.2704
angles (deg): 77.87 77.87 90.00
Atoms (fractional coordinates):
Be (0.5000, 0.5000, 0.0000)
Be (0.2500, 0.7500, 0.5000)
Ru (0.5349, 0.1250, 0.2500)
Ru (0.2151, 0.6250, 0.2500)
Ru (0.3750, 0.4651, 0.7500)
Ru (0.8750, 0.7849, 0.7500)
Hg (0.0000, 0.0000, 0.0000)
Hg (0.7500, 0.2500, 0.5000)

## Properties
calculated formation energy = 0.70 eV/atom
VASP energy = -4.94 eV per atom

(17)
The following is a PBE-GGA calculation of a geometry-optimized BeHg2Ru structure, from Alexandria via LeMat-Bulk.

a b c (Å): 7.3191 7.3191 3.0769
angles (deg): 77.89 77.89 26.24
Atoms (fractional coordinates):
Ru (0.7500, 0.7500, 0.7500)
Hg (0.5811, 0.5811, 0.4182)
Hg (0.9189, 0.9189, 0.0818)
Be (0.2500, 0.2500, 0.2500)

## Properties
calculated formation energy = 0.24 eV/atom
VASP energy = -3.17 eV per atom

(18)
The following is a PBE-GGA calculation of a geometry-optimized BeHgRu2 structure, from Alexandria via LeMat-Bulk.

a b c (Å): 8.2580 8.2580 8.2580
angles (deg): 19.97 19.97 19.97
Atoms (fractional coordinates):
Ru (0.5158, 0.5158, 0.5158)
Ru (0.9842, 0.9842, 0.9842)
Be (0.2500, 0.2500, 0.2500)
Hg (0.7500, 0.7500, 0.7500)

## Properties
calculated formation energy = 0.35 eV/atom
VASP energy = -5.29 eV per atom

(19)
The following is a PBE-GGA calculation of a geometry-optimized Be2HgRu structure, from Alexandria via LeMat-Bulk.

a b c (Å): 8.1797 8.1797 8.1797
angles (deg): 20.12 20.12 20.12
Atoms (fractional coordinates):
Be (0.4853, 0.4853, 0.4853)
Be (0.0147, 0.0147, 0.0147)
Ru (0.7500, 0.7500, 0.7500)
Hg (0.2500, 0.2500, 0.2500)

## Properties
calculated formation energy = 0.34 eV/atom
VASP energy = -3.92 eV per atom

(20)
The following is a PBE-GGA calculation of a geometry-optimized BeHgRu2 structure, from Alexandria via LeMat-Bulk.

a b c (Å): 2.7839 2.7839 8.7420
angles (deg): 90.00 90.00 117.79
Last column: magnetic moment on the atom in μB.
Atoms (fractional coordinates):
Be (0.0000, 0.0000, 0.4749)  0.00
Ru (0.5000, 0.5000, 0.2714)  0.38
Ru (0.0000, 0.0000, 0.0225)  0.74
Hg (0.5000, 0.5000, 0.7312)  -0.01

## Properties
calculated formation energy = 0.52 eV/atom
VASP energy = -5.13 eV per atom